A plane-wave DFT calculation with PBE+U was carried out for AlTcNi2O6 after structural relaxation.

Unit cell a=4.6949 b=5.1278 c=5.1278 alpha=90.00 beta=90.00 gamma=90.00
With the nearest neighbours (Å) after each atom.
Element x y z (fractional)
O: 0.7433 0.7494 0.2506  1 Al 1.94, 1 Tc 1.99, 2 Ni 2.02
O: 0.2136 0.0000 0.0000  1 Tc 1.68
O: 0.7433 0.7494 0.7494  1 Al 1.94, 1 Tc 1.99, 2 Ni 2.02
O: 0.2241 0.5000 0.5000  1 Al 1.74
O: 0.7433 0.2506 0.2506  1 Al 1.94, 1 Tc 1.99, 2 Ni 2.02
O: 0.7433 0.2506 0.7494  1 Al 1.94, 1 Tc 1.99, 2 Ni 2.02
Tc: 0.5715 0.0000 0.0000  1 O 1.68
Al: 0.5942 0.5000 0.5000  5 O 1.74-1.94
Ni: 0.9350 0.5000 0.0000  4 O 2.02
Ni: 0.9350 0.0000 0.5000  4 O 2.02

Values from the calculation:
Spin magnetization, μB per formula unit: 4.00
Raw total energy, Ry/atom: -0.450
Fermi-level density of states, states/eV/f.u.: 0.141

---

A plane-wave DFT calculation with PBE+U was carried out for AlNi2TeO6 after structural relaxation.

Unit cell a=4.6419 b=5.2549 c=5.2549 alpha=90.00 beta=90.00 gamma=90.00
With the nearest neighbours (Å) after each atom.
Element x y z (fractional)
O: 0.1887 0.5000 0.5000  1 Te 1.88
O: 0.7425 0.2399 0.7601  1 Al 1.92, 1 Te 2.05, 2 Ni 2.08
O: 0.7425 0.7601 0.7601  1 Al 1.92, 1 Te 2.05, 2 Ni 2.08
O: 0.2184 0.0000 0.0000  1 Al 1.73
O: 0.7425 0.2399 0.2399  1 Al 1.92, 1 Te 2.05, 2 Ni 2.08
O: 0.7425 0.7601 0.2399  1 Al 1.92, 1 Te 2.05, 2 Ni 2.08
Ni: 0.9428 0.5000 0.0000  4 O 2.08
Ni: 0.9428 0.0000 0.5000  4 O 2.08
Te: 0.5931 0.5000 0.5000  5 O 1.88-2.05
Al: 0.5907 0.0000 0.0000  5 O 1.73-1.92

Values from the calculation:
Spin magnetization, μB per formula unit: 4.10
Raw total energy, Ry/atom: -0.383
Fermi-level density of states, states/eV/f.u.: 1.674

---

A plane-wave DFT calculation with PBE+U was carried out for Al2NiTeO6 after structural relaxation.

Unit cell a=5.4747 b=6.6736 c=6.6736 alpha=81.40 beta=79.57 gamma=79.57
With the nearest neighbours (Å) after each atom.
Element x y z (fractional)
O: 0.1438 0.0013 0.7870  1 Al 1.84, 1 Te 2.03
O: 0.1148 0.6405 0.1195  1 Al 1.78
O: 0.6148 0.1195 0.6405  1 Al 1.78
O: 0.3562 0.2130 0.9987  1 Al 1.84, 1 Te 2.03
O: 0.3852 0.8805 0.3595  1 Al 1.78
O: 0.8852 0.3595 0.8805  1 Al 1.78
O: 0.0446 0.2848 0.3942  2 Al 1.75-1.76
O: 0.4554 0.6058 0.7152  2 Al 1.75-1.76
O: 0.6438 0.7870 0.0013  1 Al 1.84, 1 Te 2.03
O: 0.8562 0.9987 0.2130  1 Al 1.84, 1 Te 2.03
O: 0.9554 0.7152 0.6058  2 Al 1.75-1.76
O: 0.5446 0.3942 0.2848  2 Al 1.75-1.76
Al: 0.7642 0.1974 0.3876  4 O 1.75-1.84
Al: 0.7358 0.6124 0.8026  4 O 1.75-1.84
Al: 0.2642 0.3876 0.1974  4 O 1.75-1.84
Al: 0.2358 0.8026 0.6124  4 O 1.75-1.84
Te: 0.7500 0.7173 0.2827  4 O 2.03-2.11
Te: 0.2500 0.2827 0.7173  4 O 2.03-2.11
Ni: 0.7500 0.0906 0.9094  6 O 2.03-2.18
Ni: 0.2500 0.9094 0.0906  6 O 2.03-2.18

Values from the calculation:
Spin magnetization, μB per formula unit: 2.00
Raw total energy, Ry/atom: -0.463
Fermi-level density of states, states/eV/f.u.: 0.000

---

A plane-wave DFT calculation with PBE+U was carried out for AlNiTeO6 after structural relaxation.

Unit cell a=4.5386 b=4.5386 c=8.9697 alpha=90.00 beta=90.00 gamma=90.00
With the nearest neighbours (Å) after each atom.
Element x y z (fractional)
Te: 0.5000 0.5000 0.8326  6 O 1.94-1.96
Te: 0.0000 0.0000 0.3326  6 O 1.94-1.96
O: 0.3047 0.3047 0.3279  1 Al 1.90, 1 Te 1.96, 1 Ni 1.98
O: 0.8006 0.1994 0.1697  1 Al 1.93, 1 Te 1.94, 1 Ni 1.99
O: 0.3006 0.3006 0.6697  1 Al 1.93, 1 Te 1.94, 1 Ni 1.99
O: 0.6953 0.6953 0.3279  1 Al 1.90, 1 Te 1.96, 1 Ni 1.98
O: 0.6994 0.6994 0.6697  1 Al 1.93, 1 Te 1.94, 1 Ni 1.99
O: 0.1953 0.8047 0.8279  1 Al 1.90, 1 Te 1.96, 1 Ni 1.98
O: 0.3083 0.3083 0.0022  1 Al 1.94, 1 Te 1.96, 1 Ni 1.98
O: 0.8083 0.1917 0.5022  1 Al 1.94, 1 Te 1.96, 1 Ni 1.98
O: 0.1917 0.8083 0.5022  1 Al 1.94, 1 Te 1.96, 1 Ni 1.98
O: 0.1994 0.8006 0.1697  1 Al 1.93, 1 Te 1.94, 1 Ni 1.99
O: 0.6917 0.6917 0.0022  1 Al 1.94, 1 Te 1.96, 1 Ni 1.98
O: 0.8047 0.1953 0.8279  1 Al 1.90, 1 Te 1.96, 1 Ni 1.98
Ni: 0.5000 0.5000 0.4991  6 O 1.98-1.99
Ni: 0.0000 0.0000 0.9991  6 O 1.98-1.99
Al: 0.5000 0.5000 0.1688  6 O 1.90-1.94
Al: 0.0000 0.0000 0.6688  6 O 1.90-1.94

Values from the calculation:
Spin magnetization, μB per formula unit: 3.00
Raw total energy, Ry/atom: -0.426

---

A plane-wave DFT calculation with PBE+U was carried out for UAlNiO6 after structural relaxation.

Unit cell a=5.2049 b=5.2049 c=8.7438 alpha=90.00 beta=90.00 gamma=120.00
With the nearest neighbours (Å) after each atom.
Element x y z (fractional)
U: 0.6667 0.3333 0.2500  6 O 2.08
U: 0.3333 0.6667 0.7500  6 O 2.08
O: 0.6690 0.6459 0.6319  1 Al 1.92, 1 U 2.08, 1 Ni 2.13
O: 0.9768 0.3310 0.6319  1 Al 1.92, 1 U 2.08, 1 Ni 2.13
O: 0.3310 0.9768 0.1319  1 Al 1.92, 1 U 2.08, 1 Ni 2.13
O: 0.0232 0.3541 0.1319  1 Al 1.92, 1 U 2.08, 1 Ni 2.13
O: 0.6459 0.6690 0.1319  1 Al 1.92, 1 U 2.08, 1 Ni 2.13
O: 0.9768 0.6459 0.8681  1 Al 1.92, 1 U 2.08, 1 Ni 2.13
O: 0.3310 0.3541 0.3681  1 Al 1.92, 1 U 2.08, 1 Ni 2.13
O: 0.0232 0.6690 0.3681  1 Al 1.92, 1 U 2.08, 1 Ni 2.13
O: 0.6459 0.9768 0.3681  1 Al 1.92, 1 U 2.08, 1 Ni 2.13
O: 0.3541 0.3310 0.8681  1 Al 1.92, 1 U 2.08, 1 Ni 2.13
O: 0.3541 0.0232 0.6319  1 Al 1.92, 1 U 2.08, 1 Ni 2.13
O: 0.6690 0.0232 0.8681  1 Al 1.92, 1 U 2.08, 1 Ni 2.13
Ni: 0.0000 0.0000 0.0000  6 O 2.13
Ni: 0.0000 0.0000 0.5000  6 O 2.13
Al: 0.6667 0.3333 0.7500  6 O 1.92
Al: 0.3333 0.6667 0.2500  6 O 1.92

Values from the calculation:
Spin magnetization, μB per formula unit: 1.06
Raw total energy, Ry/atom: -0.551
Fermi-level density of states, states/eV/f.u.: 4.492

---

A plane-wave DFT calculation with PBE+U was carried out for UAl2NiO8 after structural relaxation.

Unit cell a=4.6813 b=4.6778 c=6.0009 alpha=90.00 beta=90.00 gamma=89.09
With the nearest neighbours (Å) after each atom.
Element x y z (fractional)
O: 0.6879 0.6887 0.5000  2 Al 1.94, 1 Ni 2.08
O: 0.3120 0.3113 0.5000  2 Al 1.94, 1 Ni 2.08
O: 0.2113 0.7878 0.7448  1 Al 1.89, 1 Ni 2.02, 1 U 2.07
O: 0.2112 0.7878 0.2552  1 Al 1.89, 1 Ni 2.02, 1 U 2.07
O: 0.7887 0.2122 0.2552  1 Al 1.89, 1 Ni 2.02, 1 U 2.07
O: 0.3169 0.3160 0.0000  2 Al 1.96, 1 U 2.11
O: 0.6831 0.6840 0.0000  2 Al 1.96, 1 U 2.11
O: 0.7888 0.2122 0.7448  1 Al 1.89, 1 Ni 2.02, 1 U 2.07
U: 0.0000 0.0000 0.0000  6 O 2.07-2.11
Al: 0.5000 0.5000 0.2545  6 O 1.89-1.96
Al: 0.5000 0.5000 0.7455  6 O 1.89-1.96
Ni: 0.0000 0.0000 0.5000  6 O 2.02-2.08

Values from the calculation:
Spin magnetization, μB per formula unit: 3.32
Raw total energy, Ry/atom: -0.541
Fermi-level density of states, states/eV/f.u.: 4.925

---

A plane-wave DFT calculation with PBE+U was carried out for UAlNi2O6 after structural relaxation.

Unit cell a=4.0602 b=5.7351 c=5.7351 alpha=90.00 beta=90.00 gamma=90.00
With the nearest neighbours (Å) after each atom.
Element x y z (fractional)
O: 0.2223 0.0000 0.0000  1 Al 1.86
O: 0.7396 0.7614 0.7614  1 Al 1.95, 2 Ni 2.08, 1 U 2.13
O: 0.7396 0.2386 0.2386  1 Al 1.95, 2 Ni 2.08, 1 U 2.13
O: 0.7396 0.7614 0.2386  1 Al 1.95, 2 Ni 2.08, 1 U 2.13
O: 0.7396 0.2386 0.7614  1 Al 1.95, 2 Ni 2.08, 1 U 2.13
O: 0.1937 0.5000 0.5000  2 U 2.00-2.06
Ni: 0.8532 0.0000 0.5000  4 O 2.08
Ni: 0.8532 0.5000 0.0000  4 O 2.08
Al: 0.6793 0.0000 0.0000  5 O 1.86-1.95
U: 0.6866 0.5000 0.5000  6 O 2.00-2.13

Values from the calculation:
Spin magnetization, μB per formula unit: 3.00
Raw total energy, Ry/atom: -0.502
Fermi-level density of states, states/eV/f.u.: 4.708

---

A plane-wave DFT calculation with PBE+U was carried out for AlNi2WO6 after structural relaxation.

Unit cell a=3.7597 b=5.6460 c=5.6460 alpha=90.00 beta=90.00 gamma=90.00
With the nearest neighbours (Å) after each atom.
Element x y z (fractional)
O: 0.7443 0.7525 0.2475  1 W 1.98, 2 Ni 2.00, 1 Al 2.02
O: 0.7443 0.7525 0.7525  1 W 1.98, 2 Ni 2.00, 1 Al 2.02
O: 0.2437 0.0000 0.0000  2 W 1.88
O: 0.2437 0.5000 0.5000  2 Al 1.88
O: 0.7443 0.2475 0.2475  1 W 1.98, 2 Ni 2.00, 1 Al 2.02
O: 0.7443 0.2475 0.7525  1 W 1.98, 2 Ni 2.00, 1 Al 2.02
Ni: 0.7478 0.5000 0.0000  4 O 2.00
Ni: 0.7478 0.0000 0.5000  4 O 2.00
W: 0.7432 0.0000 0.0000  6 O 1.88-1.98
Al: 0.7435 0.5000 0.5000  6 O 1.88-2.02

Values from the calculation:
Spin magnetization, μB per formula unit: 1.89
Raw total energy, Ry/atom: -0.440
Fermi-level density of states, states/eV/f.u.: 5.196

---

A plane-wave DFT calculation with PBE+U was carried out for AlZn2NiO4 after structural relaxation.

Unit cell a=4.6950 b=4.6950 c=5.4129 alpha=115.59 beta=115.59 gamma=90.24
With the nearest neighbours (Å) after each atom.
Element x y z (fractional)
Al: 0.4992 0.4992 0.9985  4 O 1.78
O: 0.8374 0.4011 0.2385  1 Al 1.78
O: 0.1600 0.1600 0.7585  1 Al 1.78
O: 0.5985 0.5985 0.7585  1 Al 1.78
O: 0.4011 0.8374 0.2385  1 Al 1.78
Ni: 0.0040 0.0040 0.0081  4 O 2.12-2.15
Zn: 0.2500 0.7500 0.5000  4 O 2.01
Zn: 0.7500 0.2500 0.5000  4 O 2.01

Values from the calculation:
Spin magnetization, μB per formula unit: 1.01
Raw total energy, Ry/atom: -0.384
Fermi-level density of states, states/eV/f.u.: 1.519